The following is a PBE calculation of a relaxed KTeP2H6 crystal, from Alexandria.

Values from the calculation:
As for the symmetry: C2/c (15). The value obtained for the energy is -3.621 eV/atom.

Cell lengths 7.0994, 7.0994, 7.2665 Å; angles 90.89, 90.89, 112.91 degrees
Fractional coordinates of all 20 atoms:
K 0.2085 0.7915 0.2500
K 0.7915 0.2085 0.7500
Te 0.6808 0.3192 0.2500
Te 0.3192 0.6808 0.7500
P 0.2772 0.2079 0.7421
P 0.7921 0.7228 0.7579
P 0.7228 0.7921 0.2579
P 0.2079 0.2772 0.2421
H 0.0007 0.2901 0.2406
H 0.7099 0.9993 0.2594
H 0.9993 0.7099 0.7594
H 0.2901 0.0007 0.7406
H 0.2766 0.4234 0.0993
H 0.5766 0.7234 0.4007
H 0.7234 0.5766 0.9007
H 0.4234 0.2766 0.5993
H 0.2774 0.4243 0.3905
H 0.5757 0.7226 0.1095
H 0.7226 0.5757 0.6095
H 0.4243 0.2774 0.8905